1.
# Sr2NpSnS5

A geometry-optimized Sr2NpSnS5 structure (PBE, the Alexandria database).

Results
raw total energy	-0.218	hartree per atom
space-group type	Cmc2_1, No. 36
Fermi-level density of states	0.986	states/eV per atom
crystal system	orthorhombic
calculated density	4.658	g cm⁻³

Cell and atoms, written as CIF:
```
data_Sr2NpSnS5
_cell_length_a 4.132
_cell_length_b 8.931
_cell_length_c 13.728
_cell_angle_alpha 90.00
_cell_angle_beta 90.00
_cell_angle_gamma 103.38
_symmetry_space_group_name_H-M 'P 1'
_symmetry_Int_Tables_number 1
_symmetry_space_group_name_Hall 'P 1'
loop_
_atom_site_label
_atom_site_type_symbol
_atom_site_fract_x
_atom_site_fract_y
_atom_site_fract_z
Sr1 Sr 0.866 0.732 0.800
Sr2 Sr 0.076 0.153 0.648
Sr3 Sr 0.134 0.268 0.300
Sr4 Sr 0.924 0.847 0.148
Np1 Np 0.764 0.529 0.537
Np2 Np 0.236 0.471 0.037
Sn1 Sn 0.555 0.109 0.944
Sn2 Sn 0.445 0.891 0.444
S1 S 0.384 0.768 0.988
S2 S 0.710 0.421 0.911
S3 S 0.492 0.984 0.758
S4 S 0.253 0.505 0.668
S5 S 0.914 0.827 0.570
S6 S 0.616 0.232 0.488
S7 S 0.290 0.579 0.411
S8 S 0.508 0.016 0.258
S9 S 0.747 0.495 0.168
S10 S 0.086 0.173 0.070
```

2.
# In6SnHg3

A geometry-optimized In6SnHg3 structure (PBE, the Alexandria database).

Results
raw total energy	-0.077	hartree per atom
space-group type	Cmc2_1, No. 36
Fermi-level density of states	0.400	states/eV per atom
calculated formation energy	0.0256	eV per atom
crystal system	orthorhombic
calculated density	8.533	g cm⁻³

Cell and atoms, written as CIF:
```
data_In6SnHg3
_cell_length_a 5.746
_cell_length_b 10.218
_cell_length_c 10.218
_cell_angle_alpha 113.87
_cell_angle_beta 90.00
_cell_angle_gamma 90.00
_symmetry_space_group_name_H-M 'P 1'
_symmetry_Int_Tables_number 1
_symmetry_space_group_name_Hall 'P 1'
loop_
_atom_site_label
_atom_site_type_symbol
_atom_site_fract_x
_atom_site_fract_y
_atom_site_fract_z
In1 In 0.040 0.724 0.623
In2 In 0.540 0.623 0.724
In3 In 0.335 0.555 0.974
In4 In 0.835 0.974 0.555
In5 In 0.402 0.939 0.061
In6 In 0.662 0.306 0.694
In7 In 0.162 0.694 0.306
In8 In 0.902 0.061 0.939
In9 In 0.335 0.026 0.445
In10 In 0.835 0.445 0.026
In11 In 0.040 0.377 0.276
In12 In 0.540 0.276 0.377
Sn1 Sn 0.179 0.222 0.778
Sn2 Sn 0.679 0.778 0.222
Hg1 Hg 0.446 0.936 0.746
Hg2 Hg 0.946 0.746 0.936
Hg3 Hg 0.098 0.410 0.590
Hg4 Hg 0.598 0.590 0.410
Hg5 Hg 0.946 0.064 0.254
Hg6 Hg 0.446 0.254 0.064
```

3.
# CsCd3Rh

A geometry-optimized CsCd3Rh structure (PBE, the Alexandria database).

Results
raw total energy	-0.084	hartree per atom
space-group type	Imma, No. 74
Fermi-level density of states	0.290	states/eV per atom
calculated formation energy	-0.0978	eV per atom
offset from the most stable computed form	0.00	kcal/mol of atoms
crystal system	orthorhombic
calculated density	6.283	g cm⁻³

Cell and atoms, written as CIF:
```
data_CsCd3Rh
_cell_length_a 7.517
_cell_length_b 7.535
_cell_length_c 7.535
_cell_angle_alpha 60.32
_cell_angle_beta 60.08
_cell_angle_gamma 60.08
_symmetry_space_group_name_H-M 'P 1'
_symmetry_Int_Tables_number 1
_symmetry_space_group_name_Hall 'P 1'
loop_
_atom_site_label
_atom_site_type_symbol
_atom_site_fract_x
_atom_site_fract_y
_atom_site_fract_z
Cs1 Cs 0.750 0.324 0.176
Cs2 Cs 0.250 0.676 0.824
Rh1 Rh 0.000 0.500 0.500
Rh2 Rh 0.500 0.000 0.000
Cd1 Cd 0.783 0.217 0.717
Cd2 Cd 0.283 0.217 0.717
Cd3 Cd 0.717 0.783 0.283
Cd4 Cd 0.217 0.783 0.283
Cd5 Cd 0.750 0.813 0.687
Cd6 Cd 0.250 0.187 0.313
```